# TaInFePt

An optimized crystal structure of TaInFePt (GGA-PBE, the Open Quantum Materials Database).

Cell lengths 6.394, 6.394, 6.394 Å; angles 90.00, 90.00, 90.00 degrees
Element x y z (fractional)
Ta (0.000, 0.000, 0.000)
Ta (0.000, 0.500, 0.500)
Ta (0.500, 0.000, 0.500)
Ta (0.500, 0.500, 0.000)
In (0.000, 0.000, 0.500)
In (0.000, 0.500, 0.000)
In (0.500, 0.000, 0.000)
In (0.500, 0.500, 0.500)
Fe (0.250, 0.250, 0.750)
Fe (0.250, 0.750, 0.250)
Fe (0.750, 0.250, 0.250)
Fe (0.750, 0.750, 0.750)
Pt (0.250, 0.250, 0.250)
Pt (0.250, 0.750, 0.750)
Pt (0.750, 0.250, 0.750)
Pt (0.750, 0.750, 0.250)

Computed properties:
**ρ**: 13.89 g/cm3
**E above lowest polymorph**: 0 meV/atom
**Space-group type**: F-43m, No. 216

---

# Cs2TmHgF6

An optimized crystal structure of Cs2TmHgF6 (GGA-PBE, the Open Quantum Materials Database).

Cell lengths 6.479, 6.479, 6.479 Å; angles 60.00, 60.00, 60.00 degrees
Element x y z (fractional)
Cs (0.250, 0.250, 0.250)
Cs (0.750, 0.750, 0.750)
Tm (0.000, 0.000, 0.000)
Hg (0.500, 0.500, 0.500)
F (0.229, 0.229, 0.771)
F (0.229, 0.771, 0.229)
F (0.229, 0.771, 0.771)
F (0.771, 0.229, 0.229)
F (0.771, 0.229, 0.771)
F (0.771, 0.771, 0.229)

Computed properties:
**ρ**: 6.47 g/cm3
**Space-group type**: Fm-3m, No. 225
**E**: -4.656 eV/atom

---

# LaEr2Mg3CdIn2

An optimized crystal structure of LaEr2Mg3CdIn2 (GGA-PBE, the Open Quantum Materials Database).

Cell lengths 4.702, 7.643, 7.643 Å; angles 121.41, 90.00, 90.00 degrees
Element x y z (fractional)
La (0.000, 0.000, 0.000)
Er (0.000, 0.423, 0.850)
Er (0.000, 0.850, 0.423)
Mg (0.500, 0.188, 0.427)
Mg (0.500, 0.427, 0.188)
Mg (0.500, 0.668, 0.668)
Cd (0.000, 0.440, 0.440)
In (0.500, 0.095, 0.751)
In (0.500, 0.751, 0.095)

Computed properties:
**ρ**: 6.29 g/cm3
**Space-group type**: Amm2, No. 38
**E**: -3.146 eV/atom

---

# NiB2Mo2

An optimized crystal structure of NiB2Mo2 (GGA-PBE, the Open Quantum Materials Database).

Cell lengths 3.072, 10.703, 3.206 Å; angles 90.00, 90.00, 90.00 degrees
Element x y z (fractional)
Ni (0.000, 0.000, 0.000)
Ni (0.500, 0.500, 0.000)
B (0.000, 0.204, 0.000)
B (0.000, 0.796, 0.000)
B (0.500, 0.296, 0.000)
B (0.500, 0.704, 0.000)
Mo (0.000, 0.363, 0.500)
Mo (0.000, 0.637, 0.500)
Mo (0.500, 0.137, 0.500)
Mo (0.500, 0.863, 0.500)

Computed properties:
**ρ**: 8.58 g/cm3
**Space-group type**: Cmmm, No. 65
**E**: -8.514 eV/atom

---

# MgNiGe2

An optimized crystal structure of MgNiGe2 (GGA-PBE, the Open Quantum Materials Database).

Cell lengths 6.371, 6.371, 6.371 Å; angles 90.00, 90.00, 90.00 degrees
Element x y z (fractional)
Mg (0.000, 0.000, 0.000)
Mg (0.000, 0.500, 0.500)
Mg (0.500, 0.000, 0.500)
Mg (0.500, 0.500, 0.000)
Ni (0.250, 0.250, 0.750)
Ni (0.250, 0.750, 0.250)
Ni (0.750, 0.250, 0.250)
Ni (0.750, 0.750, 0.750)
Ge (0.000, 0.000, 0.500)
Ge (0.000, 0.500, 0.000)
Ge (0.250, 0.250, 0.250)
Ge (0.250, 0.750, 0.750)
Ge (0.500, 0.000, 0.000)
Ge (0.500, 0.500, 0.500)
Ge (0.750, 0.250, 0.750)
Ge (0.750, 0.750, 0.250)

Computed properties:
**ρ**: 5.86 g/cm3
**Space-group type**: F-43m, No. 216
**E**: -4.003 eV/atom

---

# CsMgSbPd

An optimized crystal structure of CsMgSbPd (GGA-PBE, the Open Quantum Materials Database).

Cell lengths 7.489, 7.489, 7.489 Å; angles 90.00, 90.00, 90.00 degrees
Element x y z (fractional)
Cs (0.000, 0.000, 0.000)
Cs (0.000, 0.500, 0.500)
Cs (0.500, 0.000, 0.500)
Cs (0.500, 0.500, 0.000)
Mg (0.250, 0.250, 0.750)
Mg (0.250, 0.750, 0.250)
Mg (0.750, 0.250, 0.250)
Mg (0.750, 0.750, 0.750)
Sb (0.000, 0.000, 0.500)
Sb (0.000, 0.500, 0.000)
Sb (0.500, 0.000, 0.000)
Sb (0.500, 0.500, 0.500)
Pd (0.250, 0.250, 0.250)
Pd (0.250, 0.750, 0.750)
Pd (0.750, 0.250, 0.750)
Pd (0.750, 0.750, 0.250)

Computed properties:
**ρ**: 6.09 g/cm3
**E above lowest polymorph**: 0 meV/atom
**Space-group type**: F-43m, No. 216

---

# HoTmPb

An optimized crystal structure of HoTmPb (GGA-PBE, the Open Quantum Materials Database).

Cell lengths 7.241, 7.241, 7.241 Å; angles 90.00, 90.00, 90.00 degrees
Element x y z (fractional)
Ho (0.000, 0.000, 0.000)
Ho (0.000, 0.500, 0.500)
Ho (0.500, 0.000, 0.500)
Ho (0.500, 0.500, 0.000)
Tm (0.000, 0.000, 0.500)
Tm (0.000, 0.500, 0.000)
Tm (0.500, 0.000, 0.000)
Tm (0.500, 0.500, 0.500)
Pb (0.250, 0.250, 0.250)
Pb (0.250, 0.750, 0.750)
Pb (0.750, 0.250, 0.750)
Pb (0.750, 0.750, 0.250)

Computed properties:
**ρ**: 9.47 g/cm3
**Space-group type**: F-43m, No. 216
**E**: -4.401 eV/atom

---

# NbCd2Co

An optimized crystal structure of NbCd2Co (GGA-PBE, the Open Quantum Materials Database).

Cell lengths 6.450, 6.450, 6.450 Å; angles 90.00, 90.00, 90.00 degrees
Element x y z (fractional)
Nb (0.000, 0.000, 0.000)
Nb (0.000, 0.500, 0.500)
Nb (0.500, 0.000, 0.500)
Nb (0.500, 0.500, 0.000)
Cd (0.000, 0.000, 0.500)
Cd (0.000, 0.500, 0.000)
Cd (0.250, 0.250, 0.750)
Cd (0.250, 0.750, 0.250)
Cd (0.500, 0.000, 0.000)
Cd (0.500, 0.500, 0.500)
Cd (0.750, 0.250, 0.250)
Cd (0.750, 0.750, 0.750)
Co (0.250, 0.250, 0.250)
Co (0.250, 0.750, 0.750)
Co (0.750, 0.250, 0.750)
Co (0.750, 0.750, 0.250)

Computed properties:
**ρ**: 9.32 g/cm3
**Space-group type**: F-43m, No. 216
**Energy of formation**: 115 kJ/mol of formula units

---

# HoAlCu

An optimized crystal structure of HoAlCu (GGA-PBE, the Open Quantum Materials Database).

Cell lengths 6.705, 6.705, 4.379 Å; angles 90.00, 90.00, 120.00 degrees
Element x y z (fractional)
Ho (0.000, 0.564, 0.000)
Ho (0.436, 0.436, 0.000)
Ho (0.564, 0.000, 0.000)
Al (0.000, 0.000, 0.000)
Al (0.333, 0.667, 0.500)
Al (0.667, 0.333, 0.500)
Cu (0.000, 0.229, 0.500)
Cu (0.229, 0.000, 0.500)
Cu (0.771, 0.771, 0.500)

Computed properties:
**ρ**: 7.46 g/cm3
**Space-group type**: P-62m, No. 189
**E**: -4.323 eV/atom

---

# RbLiHfTe3

An optimized crystal structure of RbLiHfTe3 (GGA-PBE, the Open Quantum Materials Database).

Cell lengths 8.353, 8.353, 11.153 Å; angles 90.00, 90.00, 150.71 degrees
Element x y z (fractional)
Rb (0.247, 0.753, 0.750)
Rb (0.753, 0.247, 0.250)
Li (0.039, 0.961, 0.250)
Li (0.961, 0.039, 0.750)
Hf (0.500, 0.500, 0.000)
Hf (0.500, 0.500, 0.500)
Te (0.122, 0.878, 0.043)
Te (0.122, 0.878, 0.457)
Te (0.439, 0.561, 0.250)
Te (0.561, 0.439, 0.750)
Te (0.878, 0.122, 0.543)
Te (0.878, 0.122, 0.957)

Computed properties:
**ρ**: 5.70 g/cm3
**E above lowest polymorph**: 16 meV/atom
**Space-group type**: Cmcm, No. 63

---

# DyCdCuSe3

An optimized crystal structure of DyCdCuSe3 (GGA-PBE, the Open Quantum Materials Database).

Cell lengths 6.784, 6.784, 10.703 Å; angles 90.00, 90.00, 146.37 degrees
Element x y z (fractional)
Dy (0.000, 0.000, 0.000)
Dy (0.000, 0.000, 0.500)
Cd (0.236, 0.764, 0.750)
Cd (0.764, 0.236, 0.250)
Cu (0.475, 0.525, 0.250)
Cu (0.525, 0.475, 0.750)
Se (0.097, 0.903, 0.250)
Se (0.354, 0.646, 0.075)
Se (0.354, 0.646, 0.425)
Se (0.646, 0.354, 0.575)
Se (0.646, 0.354, 0.925)
Se (0.903, 0.097, 0.750)

Computed properties:
**ρ**: 7.00 g/cm3
**Space-group type**: Cmcm, No. 63
**E**: -4.191 eV/atom

---

# CsGdNiSe3

An optimized crystal structure of CsGdNiSe3 (GGA-PBE, the Open Quantum Materials Database).

Cell lengths 9.380, 4.124, 10.604 Å; angles 90.00, 112.58, 90.00 degrees
Element x y z (fractional)
Cs (0.244, 0.250, 0.280)
Cs (0.756, 0.750, 0.720)
Gd (0.319, 0.750, 0.860)
Gd (0.681, 0.250, 0.140)
Ni (0.076, 0.250, 0.595)
Ni (0.924, 0.750, 0.405)
Se (0.095, 0.250, 0.829)
Se (0.185, 0.750, 0.555)
Se (0.467, 0.750, 0.150)
Se (0.533, 0.250, 0.850)
Se (0.815, 0.250, 0.445)
Se (0.905, 0.750, 0.171)

Computed properties:
**ρ**: 5.14 g/cm3
**E above lowest polymorph**: 9 meV/atom
**Space-group type**: P2_1/m, No. 11

---

# PrHg

An optimized crystal structure of PrHg (GGA-PBE, the Open Quantum Materials Database).

Cell lengths 3.844, 3.844, 3.844 Å; angles 90.00, 90.00, 90.00 degrees
Element x y z (fractional)
Pr (0.000, 0.000, 0.000)
Hg (0.500, 0.500, 0.500)

Computed properties:
**ρ**: 9.98 g/cm3
**Space-group type**: Pm-3m, No. 221
**Energy of formation**: -92 kJ/mol of formula units

---

# Na2Sc2In2PtAu

An optimized crystal structure of Na2Sc2In2PtAu (GGA-PBE, the Open Quantum Materials Database).

Cell lengths 4.794, 4.794, 6.802 Å; angles 90.00, 90.00, 90.00 degrees
Element x y z (fractional)
Na (0.000, 0.000, 0.000)
Na (0.500, 0.500, 0.500)
Sc (0.000, 0.500, 0.741)
Sc (0.500, 0.000, 0.259)
In (0.000, 0.500, 0.255)
In (0.500, 0.000, 0.745)
Pt (0.000, 0.000, 0.500)
Au (0.500, 0.500, 0.000)

Computed properties:
**ρ**: 8.05 g/cm3
**Space-group type**: P-4m2, No. 115
**E**: -4.217 eV/atom

---

# BaNdCdTe3

An optimized crystal structure of BaNdCdTe3 (GGA-PBE, the Open Quantum Materials Database).

Cell lengths 8.279, 8.279, 11.624 Å; angles 90.00, 90.00, 148.10 degrees
Element x y z (fractional)
Ba (0.235, 0.765, 0.750)
Ba (0.765, 0.235, 0.250)
Nd (0.000, 0.000, 0.000)
Nd (0.000, 0.000, 0.500)
Cd (0.474, 0.526, 0.250)
Cd (0.526, 0.474, 0.750)
Te (0.092, 0.908, 0.250)
Te (0.361, 0.639, 0.055)
Te (0.361, 0.639, 0.445)
Te (0.639, 0.361, 0.555)
Te (0.639, 0.361, 0.945)
Te (0.908, 0.092, 0.750)

Computed properties:
**ρ**: 6.13 g/cm3
**Space-group type**: Cmcm, No. 63
**E**: -3.973 eV/atom

---

# Tl4Hg3

An optimized crystal structure of Tl4Hg3 (GGA-PBE, the Open Quantum Materials Database).

Cell lengths 9.162, 9.162, 6.348 Å; angles 103.20, 103.20, 121.98 degrees
Element x y z (fractional)
Tl (0.127, 0.383, 0.662)
Tl (0.166, 0.834, 0.000)
Tl (0.375, 0.375, 0.199)
Tl (0.383, 0.127, 0.662)
Tl (0.617, 0.873, 0.338)
Tl (0.625, 0.625, 0.801)
Tl (0.834, 0.166, 0.000)
Tl (0.873, 0.617, 0.338)
Hg (0.007, 0.007, 0.259)
Hg (0.188, 0.584, 0.242)
Hg (0.416, 0.812, 0.758)
Hg (0.584, 0.188, 0.242)
Hg (0.812, 0.416, 0.758)
Hg (0.993, 0.993, 0.741)

Computed properties:
**ρ**: 11.82 g/cm3
**Space-group type**: C2/m, No. 12
**E**: -1.451 eV/atom

---

# NdAl5NiIr

An optimized crystal structure of NdAl5NiIr (GGA-PBE, the Open Quantum Materials Database).

Cell lengths 4.035, 7.167, 9.789 Å; angles 90.00, 90.00, 90.00 degrees
Element x y z (fractional)
Nd (0.000, 0.000, 0.000)
Nd (0.500, 0.500, 0.500)
Al (0.000, 0.186, 0.662)
Al (0.000, 0.194, 0.348)
Al (0.000, 0.500, 0.014)
Al (0.000, 0.806, 0.348)
Al (0.000, 0.814, 0.662)
Al (0.500, 0.000, 0.514)
Al (0.500, 0.306, 0.848)
Al (0.500, 0.314, 0.162)
Al (0.500, 0.686, 0.162)
Al (0.500, 0.694, 0.848)
Ni (0.000, 0.500, 0.247)
Ni (0.500, 0.000, 0.747)
Ir (0.000, 0.500, 0.769)
Ir (0.500, 0.000, 0.269)

Computed properties:
**ρ**: 6.22 g/cm3
**Space-group type**: Imm2, No. 44
**E**: -5.416 eV/atom

---

# RbAsPt

An optimized crystal structure of RbAsPt (GGA-PBE, the Open Quantum Materials Database).

Cell lengths 6.854, 6.854, 6.854 Å; angles 90.00, 90.00, 90.00 degrees
Element x y z (fractional)
Rb (0.000, 0.000, 0.000)
Rb (0.000, 0.500, 0.500)
Rb (0.500, 0.000, 0.500)
Rb (0.500, 0.500, 0.000)
As (0.000, 0.000, 0.500)
As (0.000, 0.500, 0.000)
As (0.500, 0.000, 0.000)
As (0.500, 0.500, 0.500)
Pt (0.250, 0.250, 0.750)
Pt (0.250, 0.750, 0.250)
Pt (0.750, 0.250, 0.250)
Pt (0.750, 0.750, 0.750)

Computed properties:
**ρ**: 7.33 g/cm3
**E above lowest polymorph**: 982 meV/atom
**Space-group type**: F-43m, No. 216

---

# LuSnOs

An optimized crystal structure of LuSnOs (GGA-PBE, the Open Quantum Materials Database).

Cell lengths 6.606, 6.606, 6.606 Å; angles 90.00, 90.00, 90.00 degrees
Element x y z (fractional)
Lu (0.000, 0.000, 0.000)
Lu (0.000, 0.500, 0.500)
Lu (0.500, 0.000, 0.500)
Lu (0.500, 0.500, 0.000)
Sn (0.250, 0.250, 0.250)
Sn (0.250, 0.750, 0.750)
Sn (0.750, 0.250, 0.750)
Sn (0.750, 0.750, 0.250)
Os (0.250, 0.250, 0.750)
Os (0.250, 0.750, 0.250)
Os (0.750, 0.250, 0.250)
Os (0.750, 0.750, 0.750)

Computed properties:
**ρ**: 11.15 g/cm3
**Space-group type**: F-43m, No. 216
**E**: -5.964 eV/atom

---

# ZnHgP2O7

An optimized crystal structure of ZnHgP2O7 (GGA-PBE, the Open Quantum Materials Database).

Cell lengths 4.543, 5.441, 5.447 Å; angles 103.67, 96.94, 96.93 degrees
Element x y z (fractional)
Zn (0.000, 0.000, 0.000)
Hg (0.997, 0.394, 0.606)
P (0.415, 0.890, 0.529)
P (0.583, 0.471, 0.110)
O (0.218, 0.803, 0.714)
O (0.255, 0.016, 0.343)
O (0.287, 0.322, 0.951)
O (0.499, 0.620, 0.380)
O (0.711, 0.049, 0.678)
O (0.743, 0.657, 0.984)
O (0.780, 0.285, 0.196)

Computed properties:
**ρ**: 5.69 g/cm3
**Space-group type**: P1, No. 1
**E**: -6.001 eV/atom